12
Lattice="-3.193 -1.305 0.401 2.321 -5.474 0.669 -0.146 2.967 8.495" Properties=species:S:1:pos:R:3 comment="SmDyTmN3 PBE relaxed" magmom_total_mub_per_cell=0.0 final_energy_ev_per_atom=-7.9387 raw_formation_energy_ev_per_atom=-1.4772 pbc="T T T"
Dy 0.980 -4.400 1.000
N 0.145 -0.376 7.458
N -1.900 -0.814 4.778
Sm -0.980 -2.488 6.656
N -1.163 -3.437 2.107
Dy -1.997 0.588 8.565
N -2.332 -0.715 1.657
Sm -0.038 -1.324 2.909
Tm -0.548 0.759 5.628
N 1.315 -3.098 7.908
Tm -0.470 -4.571 3.937
N 0.882 -2.998 4.787

***

8
Lattice="3.488 0.000 0.000 0.000 6.045 0.133 0.000 -2.087 5.640" Properties=species:S:1:pos:R:3 comment="SmDy2UN4 PBE relaxed" n_ef_per_ev_cell=4.5 magmom_total_mub_per_cell=1.5 final_energy_ev_per_atom=-8.8785 raw_formation_energy_ev_per_atom=-1.5644 pbc="T T T"
Dy 1.744 -1.044 2.820
N 0.000 4.161 1.464
N 1.744 0.917 1.399
Dy 0.000 1.979 2.887
U 0.000 0.000 0.000
N 0.000 -0.203 4.310
Sm 1.744 3.022 0.067
N 1.744 3.041 4.375

***

8
Lattice="-0.757 0.586 -3.383 4.198 -4.010 -1.634 -5.322 -2.873 0.693" Properties=species:S:1:pos:R:3 comment="Sm2DyUN4 PBE relaxed" n_ef_per_ev_cell=5.1 magmom_total_mub_per_cell=0.8 final_energy_ev_per_atom=-8.8710 raw_formation_energy_ev_per_atom=-1.5423 pbc="T T T"
Dy 1.720 -1.712 -2.508
Sm -3.040 -1.144 -1.345
N -0.597 -1.266 -1.913
U 0.000 0.000 0.000
N 2.015 -3.702 -1.092
N -1.284 -5.031 -2.411
N -3.139 -3.181 0.152
Sm -0.562 -3.441 -0.470

***

16
Lattice="3.375 0.000 0.000 -1.688 5.833 0.000 0.000 0.000 11.776" Properties=species:S:1:pos:R:3 comment="SmDy2VN4 PBE relaxed" n_ef_per_ev_cell=6.5 magmom_total_mub_per_cell=0.0 final_energy_ev_per_atom=-8.3978 raw_formation_energy_ev_per_atom=-1.3549 pbc="T T T"
N 0.000 3.095 4.400
N 0.000 3.095 1.489
V 1.688 3.806 8.832
N 0.000 0.000 0.000
N 1.688 2.738 7.377
N 1.688 2.738 10.288
Dy 0.000 4.319 11.276
Dy 1.688 1.514 0.500
Sm 0.000 1.005 8.832
N 0.000 0.000 5.888
Dy 0.000 4.319 6.388
V 0.000 2.027 2.944
Sm 1.688 4.828 2.944
N 1.688 0.860 2.944
Dy 1.688 1.514 5.388
N 0.000 4.973 8.832

***

8
Lattice="3.506 0.000 0.000 0.000 6.070 0.108 0.000 -2.122 5.688" Properties=species:S:1:pos:R:3 comment="SmDyY2N4 PBE relaxed" n_ef_per_ev_cell=0.2 magmom_total_mub_per_cell=0.0 final_energy_ev_per_atom=-8.5799 raw_formation_energy_ev_per_atom=-1.6360 pbc="T T T"
Y 0.000 1.974 2.898
N 0.000 -0.093 4.271
Dy 0.000 0.000 0.000
N 1.753 0.968 1.457
Sm 1.753 3.035 0.054
N 1.753 2.980 4.339
Y 1.753 -1.061 2.844
N 0.000 4.041 1.525

***

8
Lattice="3.533 0.000 0.000 0.000 6.115 0.109 0.000 -2.138 5.734" Properties=species:S:1:pos:R:3 comment="Sm2DyYN4 PBE relaxed" n_ef_per_ev_cell=0.2 magmom_total_mub_per_cell=0.0 final_energy_ev_per_atom=-8.3090 raw_formation_energy_ev_per_atom=-1.5832 pbc="T T T"
N 0.000 -0.073 4.366
Dy 1.767 3.058 0.054
N 0.000 4.050 1.476
N 1.767 2.980 4.418
Y 0.000 0.000 0.000
N 1.767 0.998 1.424
Sm 0.000 1.989 2.921
Sm 1.767 -1.069 2.867

***

12
Lattice="-1.567 3.543 -4.337 1.462 -5.512 -1.141 -5.261 -0.883 2.484" Properties=species:S:1:pos:R:3 comment="SmDy2Zr3N6 PBE relaxed" n_ef_per_ev_cell=3.0 magmom_total_mub_per_cell=0.0 final_energy_ev_per_atom=-9.1475 raw_formation_energy_ev_per_atom=-1.6875 pbc="T T T"
Zr -1.677 -4.435 -0.435
Dy 0.452 -2.495 -2.206
Dy -0.558 0.526 -3.272
N -1.964 0.786 -1.293
N -1.506 -1.719 -3.442
N -4.430 -0.566 -2.784
N -3.403 -3.637 -1.700
N -0.936 -2.286 -0.209
Sm 0.000 0.000 0.000
N -3.861 -1.133 0.449
Zr -3.690 1.583 -2.559
Zr -2.683 -1.426 -1.497

***

12
Lattice="3.405 0.000 0.000 0.000 6.840 0.248 -1.702 -1.967 7.162" Properties=species:S:1:pos:R:3 comment="SmDy3Zr2N6 PBE relaxed" n_ef_per_ev_cell=2.8 magmom_total_mub_per_cell=0.0 final_energy_ev_per_atom=-8.8046 raw_formation_energy_ev_per_atom=-1.6734 pbc="T T T"
N 1.702 3.256 2.597
N 0.000 4.858 4.943
Dy 1.702 -0.161 4.806
Sm 1.702 0.000 0.000
N 1.702 3.118 7.227
N 1.702 0.015 2.466
N 0.000 1.755 0.183
N 0.000 1.617 4.813
Dy 1.702 3.420 0.124
Zr 1.702 3.235 4.925
Zr 0.000 1.638 2.485
Dy 0.000 5.034 2.604

***

8
Lattice="3.452 0.000 0.000 0.000 5.987 0.114 0.000 -2.084 5.647" Properties=species:S:1:pos:R:3 comment="Sm2DyZrN4 PBE relaxed" n_ef_per_ev_cell=1.1 magmom_total_mub_per_cell=0.0 final_energy_ev_per_atom=-8.5986 raw_formation_energy_ev_per_atom=-1.6123 pbc="T T T"
Dy 1.726 2.993 0.057
N 1.726 2.980 4.445
N 0.000 -0.137 4.359
Sm 1.726 -1.042 2.824
N 1.726 0.923 1.316
Sm 0.000 1.951 2.881
N 0.000 4.040 1.403
Zr 0.000 0.000 0.000

***

7
Lattice="-1.257 2.728 -3.625 -4.536 -0.797 0.973 -2.981 7.331 3.493" Properties=species:S:1:pos:R:3 comment="Dy4Sn2N PBE relaxed" n_ef_per_ev_cell=5.0 magmom_total_mub_per_cell=0.0 final_energy_ev_per_atom=-5.9363 raw_formation_energy_ev_per_atom=-0.9735 pbc="T T T"
Sn -2.921 2.777 0.045
Sn -5.854 6.485 0.795
N 0.000 0.000 0.000
Dy -0.628 1.364 -1.813
Dy -5.820 3.958 -1.117
Dy -2.268 -0.399 0.487
Dy -2.954 5.304 1.958

***

4
Lattice="3.386 0.000 0.000 1.693 2.932 0.000 1.693 0.977 5.827" Properties=species:S:1:pos:R:3 comment="DySnN2 PBE relaxed" n_ef_per_ev_cell=2.7 magmom_total_mub_per_cell=0.0 final_energy_ev_per_atom=-6.6404 raw_formation_energy_ev_per_atom=-0.3265 pbc="T T T"
Sn 5.078 2.932 5.753
Dy 3.386 1.955 2.866
N 1.693 0.977 4.485
N 1.693 0.977 1.465

***

12
Lattice="4.570 0.000 0.000 0.000 8.261 0.000 0.000 0.000 8.261" Properties=species:S:1:pos:R:3 comment="DySnN PBE relaxed" n_ef_per_ev_cell=10.1 magmom_total_mub_per_cell=0.0 final_energy_ev_per_atom=-6.2672 raw_formation_energy_ev_per_atom=-0.6237 pbc="T T T"
Sn 0.000 6.719 0.000
Sn 2.285 0.000 1.542
Sn 0.000 1.542 0.000
N 0.000 5.599 4.131
Dy 0.000 4.131 2.413
N 2.285 4.131 2.662
Sn 2.285 0.000 6.719
Dy 0.000 4.131 5.848
N 0.000 2.662 4.131
Dy 2.285 2.413 4.131
N 2.285 4.131 5.599
Dy 2.285 5.848 4.131

***

12
Lattice="5.784 0.001 -0.002 0.001 6.992 0.305 -2.894 -2.577 7.177" Properties=species:S:1:pos:R:3 comment="Dy4SnN PBE relaxed" n_ef_per_ev_cell=9.6 magmom_total_mub_per_cell=0.0 final_energy_ev_per_atom=-5.8591 raw_formation_energy_ev_per_atom=-0.7363 pbc="T T T"
Dy -0.204 0.311 2.826
Dy 2.593 5.919 1.817
N -1.447 2.208 3.741
Dy -0.299 1.995 5.816
Dy 2.688 0.609 4.503
Sn -2.536 -0.832 7.253
Dy 3.189 2.421 1.664
N 1.445 -1.288 3.588
Sn 5.427 5.248 0.227
Dy 3.094 4.105 4.654
Dy 0.298 -1.503 5.664
Dy 0.202 3.807 2.978

***

80
Lattice="-5.467 -1.606 -12.252 -1.909 -11.217 7.289 -5.870 10.464 6.215" Properties=species:S:1:pos:R:3 comment="Dy12Sn3N5 PBE relaxed" n_ef_per_ev_cell=48.7 magmom_total_mub_per_cell=0.0 final_energy_ev_per_atom=-6.3921 raw_formation_energy_ev_per_atom=-0.9491 pbc="T T T"
Dy -11.286 1.419 -1.021
Dy -5.613 3.994 7.851
Dy -6.243 -11.305 -3.332
Dy -5.273 6.014 2.699
Dy -5.632 0.323 5.103
Dy -7.003 8.947 4.584
Dy -7.927 -2.798 -7.381
N 0.000 0.000 0.000
N -2.734 -0.803 -6.126
Sn -8.535 2.638 -0.263
N -0.954 -5.608 3.645
Dy -3.816 -1.886 -4.151
Dy -4.679 -0.769 -0.890
Sn -7.151 -2.475 4.757
Dy -8.190 -0.322 -1.123
Dy -8.693 5.090 1.631
N -6.555 -8.202 0.274
N -9.985 -0.260 3.248
Dy -4.512 0.953 -6.158
Dy -4.067 2.515 -2.887
N -3.261 -2.098 -1.995
Sn -5.550 -4.103 -5.679
N -3.771 -8.908 4.092
N -3.688 -6.411 -2.482
Sn -6.095 0.116 -3.505
Dy -2.900 -7.089 3.126
Dy -1.990 -0.159 1.504
Dy -9.158 -0.132 8.923
N -7.495 -4.291 -2.303
Dy -10.327 6.887 -4.880
Dy -4.933 -2.641 6.919
N -5.669 4.429 -3.019
Dy -9.490 -5.231 -1.936
N -6.623 -1.179 0.626
Dy -7.273 -6.724 1.791
Sn -7.696 1.744 6.931
Dy -3.416 -4.221 -1.309
N -10.379 -0.567 -1.504
Dy -7.973 -8.373 -1.447
Sn -6.297 6.151 5.729
Dy -4.493 -6.173 7.930
Sn -6.490 -0.191 -8.256
Dy -6.393 1.123 1.572
Sn -9.439 -4.479 1.073
N -6.691 5.844 0.978
N -2.935 5.232 3.108
Dy -9.830 1.862 2.561
Dy -5.319 0.439 8.633
Dy -7.573 2.837 -3.310
Dy -3.756 2.873 3.188
Dy -8.735 -3.312 7.410
Dy -7.614 -2.681 -3.851
Dy -9.430 -0.472 5.403
Sn -6.756 -2.167 9.508
Dy -7.634 -6.353 -6.599
N -2.867 -1.791 2.756
Dy -11.256 -2.200 -0.252
N -4.316 -4.689 6.266
Dy -8.753 3.815 -6.677
Dy -4.088 -2.226 -7.671
Sn -3.807 2.121 0.179
Dy -2.920 -9.245 6.132
N -9.475 6.550 -2.840
N -3.889 -0.376 6.752
Dy -7.225 3.411 4.358
Sn -4.711 -4.997 1.515
Dy -1.961 -3.777 2.273
Dy -10.346 4.730 -1.874
Dy -5.673 -5.195 4.562
Dy -8.567 -1.590 2.142
Sn -6.949 -8.510 -4.477
Dy -9.179 -4.873 4.139
Dy -5.057 -2.036 2.375
N -8.930 2.331 -5.014
Dy -8.313 0.283 -5.667
Dy -6.021 -5.769 -3.105
Dy -6.853 -3.481 -0.319
Dy -4.553 -7.449 -0.379
Dy -5.974 4.366 -0.539
N -5.751 1.932 3.555

***

16
Lattice="-3.300 -0.765 -0.855 1.065 -2.821 5.552 -3.852 10.074 5.857" Properties=species:S:1:pos:R:3 comment="SrDy2SnN4 PBE relaxed" magmom_total_mub_per_cell=0.0 final_energy_ev_per_atom=-6.9336 raw_formation_energy_ev_per_atom=-0.9098 pbc="T T T"
N -5.344 6.983 7.246
N -0.742 -0.494 3.309
N -1.926 5.037 2.929
Sr -3.072 -0.381 5.064
Sn -1.148 1.504 3.088
N -4.301 4.255 5.660
N 0.000 0.000 0.000
Dy -4.165 7.386 9.471
Sn -4.938 4.984 7.467
Sr -3.014 6.869 5.491
N -1.786 2.234 4.895
Dy -3.607 3.509 3.646
Dy -1.922 -0.897 1.084
N -3.405 4.728 8.917
N -2.682 1.760 1.638
Dy -2.480 2.979 6.909

***

8
Lattice="-2.442 -2.369 -0.754 4.116 -4.388 0.457 -2.567 0.939 5.366" Properties=species:S:1:pos:R:3 comment="Tb2DySnN4 PBE relaxed" n_ef_per_ev_cell=4.3 magmom_total_mub_per_cell=0.0 final_energy_ev_per_atom=-7.4554 raw_formation_energy_ev_per_atom=-1.0595 pbc="T T T"
N 2.415 -3.030 1.699
Tb 0.775 -1.725 2.912
N -0.072 -3.750 3.964
Dy 0.837 -3.379 -0.148
Tb -2.505 -0.715 2.306
N -0.821 -2.069 1.106
Sn 0.000 0.000 0.000
N -0.866 -0.420 4.124

***

11
Lattice="4.713 0.000 0.000 0.000 4.713 0.000 -2.357 -2.357 12.763" Properties=species:S:1:pos:R:3 comment="Dy4Th2Sn3N2 PBE relaxed" n_ef_per_ev_cell=7.4 magmom_total_mub_per_cell=0.0 final_energy_ev_per_atom=-6.6184 raw_formation_energy_ev_per_atom=-0.9905 pbc="T T T"
Dy 0.000 2.356 2.068
Sn 0.000 0.000 4.485
N 0.000 0.000 10.180
Th 0.000 0.000 7.891
Dy 2.357 0.000 2.068
Th 2.356 2.357 4.872
Dy 2.356 0.000 10.695
Dy 0.000 2.357 10.695
N 2.356 2.356 2.582
Sn 0.000 0.000 0.000
Sn 2.356 2.357 8.278

***

14
Lattice="6.662 0.000 0.000 0.000 6.662 0.000 -3.331 0.000 8.016" Properties=species:S:1:pos:R:3 comment="Dy4TlSnN PBE relaxed" n_ef_per_ev_cell=3.0 magmom_total_mub_per_cell=0.0 final_energy_ev_per_atom=-5.5841 raw_formation_energy_ev_per_atom=-0.8551 pbc="T T T"
N 3.331 1.665 3.988
Dy 0.000 4.996 6.575
Dy 0.000 4.996 1.403
Sn 0.000 1.665 6.273
Dy 1.666 3.331 4.008
Dy 3.331 1.665 1.441
Dy 3.331 1.665 6.613
N 0.000 4.996 4.028
Dy -1.666 3.331 4.008
Tl 0.000 1.665 1.754
Sn 3.331 4.996 1.743
Dy -1.666 0.000 4.008
Tl 3.331 4.996 6.262
Dy 1.666 0.000 4.008

***

8
Lattice="3.450 0.000 0.000 0.000 5.986 0.104 0.000 -2.095 5.575" Properties=species:S:1:pos:R:3 comment="Dy2TmSnN4 PBE relaxed" n_ef_per_ev_cell=4.1 magmom_total_mub_per_cell=0.0 final_energy_ev_per_atom=-7.4777 raw_formation_energy_ev_per_atom=-1.1052 pbc="T T T"
Sn 0.000 0.000 0.000
Dy 1.725 -1.048 2.787
N 0.000 -0.032 4.205
N 1.725 2.881 4.242
Tm 1.725 2.993 0.052
N 0.000 3.923 1.474
N 1.725 1.009 1.437
Dy 0.000 1.945 2.840